Record 1
CsTl2Sb3 | PBE | relaxed

The structure in extended XYZ format:
```
12
Lattice="4.701 -6.475 0.000 4.701 6.475 0.000 0.000 0.000 7.883" Properties=species:S:1:pos:R:3 pbc="T T T"
Cs 4.701 4.145 5.913
Cs 4.701 -4.145 1.971
Tl 2.830 0.000 0.000
Tl 2.830 0.000 3.942
Tl 6.573 0.000 0.000
Tl 6.573 0.000 3.942
Sb 3.290 4.430 1.971
Sb 6.112 4.430 1.971
Sb 4.701 1.673 1.971
Sb 4.701 -1.673 5.913
Sb 3.290 -4.430 5.913
Sb 6.112 -4.430 5.913
```

Output
M_tot (Bohr magnetons per cell): 0.00
Energy relative to the elements, uncorrected (meV per atom): -112
Space-group type: Cmcm, No. 63



Record 2
MgZnCu3 | PBE | relaxed

The structure in extended XYZ format:
```
10
Lattice="4.414 0.000 0.000 0.000 5.263 0.000 -2.181 0.000 6.068" Properties=species:S:1:pos:R:3 pbc="T T T"
Mg 0.003 1.316 1.350
Mg 2.231 3.947 4.718
Zn 0.027 1.316 5.899
Zn 2.207 3.947 0.169
Cu -0.003 3.947 1.625
Cu 0.022 5.261 3.781
Cu 0.022 2.634 3.781
Cu 2.212 0.002 2.287
Cu 2.212 2.629 2.287
Cu 2.237 1.316 4.443
```

Output
M_tot (Bohr magnetons per cell): 0.00
Excess energy over the best structure of this formula in the dataset (meV/atom): 0.0
E_form (eV/atom): -0.045
Space-group type: P2_1/m, No. 11



Record 3
HoSc3Al | PBE | relaxed

The structure in extended XYZ format:
```
10
Lattice="6.099 -1.688 0.000 6.099 1.688 0.000 -0.991 0.000 11.662" Properties=species:S:1:pos:R:3 pbc="T T T"
Ho 2.576 0.000 2.940
Ho 8.631 0.000 8.722
Sc -0.322 0.000 8.045
Sc 0.799 0.000 11.099
Sc 3.949 0.000 6.034
Sc 7.258 0.000 5.628
Sc 10.408 0.000 0.562
Sc 11.529 0.000 3.617
Al 4.664 0.000 10.237
Al 6.543 0.000 1.425
```

Output
M_tot (Bohr magnetons per cell): 0.92
Excess energy over the best structure of this formula in the dataset (meV/atom): 0.0
E_form (eV/atom): -0.162
Space-group type: C2/m, No. 12



Record 4
Ge2Pt7RhPb2 | PBE | relaxed

The structure in extended XYZ format:
```
12
Lattice="2.766 -2.767 0.000 2.766 2.767 0.000 -2.765 0.000 15.631" Properties=species:S:1:pos:R:3 pbc="T T T"
Ge -0.005 0.000 3.635
Ge 2.773 0.000 11.995
Pt 0.000 0.000 0.000
Pt 1.380 1.383 2.042
Pt -0.001 0.000 6.064
Pt 1.387 1.383 13.588
Pt 1.380 -1.383 2.042
Pt 2.769 0.000 9.566
Pt 1.387 -1.383 13.588
Rh 2.766 0.000 0.000
Pb 0.002 0.000 9.028
Pb 2.766 0.000 6.603
```

Output
M_tot (Bohr magnetons per cell): 0.90
E_form (eV/atom): -0.220
Space-group type: C2/m, No. 12



Record 5
YGa2SiTc2 | PBE | relaxed

The structure in extended XYZ format:
```
6
Lattice="4.500 0.000 0.000 0.000 4.500 0.000 0.000 0.000 5.538" Properties=species:S:1:pos:R:3 pbc="T T T"
Y 0.000 0.000 0.000
Ga 2.250 2.250 1.299
Ga 2.250 2.250 4.239
Si 0.000 0.000 2.769
Tc 0.000 2.250 2.769
Tc 2.250 0.000 2.769
```

Output
M_tot (Bohr magnetons per cell): 0.00
Energy relative to the elements, uncorrected (meV per atom): -275
Space-group type: P4/mmm, No. 123



Record 6
Ac2NpSi3Rh12 | PBE | relaxed

The structure in extended XYZ format:
```
18
Lattice="3.993 2.306 6.366 -3.993 2.306 6.366 0.000 -4.611 6.366" Properties=species:S:1:pos:R:3 pbc="T T T"
Ac 0.000 0.000 2.041
Ac 0.000 0.000 17.057
Np 0.000 0.000 9.549
Si -1.997 -1.153 6.366
Si -1.997 1.153 12.732
Si 0.000 2.306 6.366
Rh -2.016 -1.164 8.752
Rh 0.000 -2.097 5.661
Rh -1.816 1.048 5.661
Rh 0.000 -2.328 10.345
Rh -2.016 1.164 10.345
Rh -1.816 -1.048 13.437
Rh 1.816 1.048 5.661
Rh 2.016 -1.164 8.752
Rh 0.000 2.328 8.752
Rh 1.816 -1.048 13.437
Rh 0.000 2.097 13.437
Rh 2.016 1.164 10.345
```

Output
M_tot (Bohr magnetons per cell): 0.01
Energy relative to the elements, uncorrected (meV per atom): -240
Space-group type: R-3m, No. 166



Record 7
Tb6HoHg | PBE | relaxed

The structure in extended XYZ format:
```
8
Lattice="4.634 2.675 3.335 -4.634 2.675 3.335 0.000 -5.351 3.335" Properties=species:S:1:pos:R:3 pbc="T T T"
Tb -3.333 -0.850 4.528
Tb -0.930 -3.312 5.476
Tb -2.403 2.461 5.476
Tb 2.403 -2.461 4.528
Tb 0.930 3.312 4.528
Tb 3.333 0.850 5.476
Ho 0.000 0.000 5.002
Hg 0.000 0.000 0.000
```

Output
M_tot (Bohr magnetons per cell): 0.00
E_form (eV/atom): -0.009
Space-group type: R-3, No. 148



Record 8
LaCu2Br | PBE | relaxed

The structure in extended XYZ format:
```
4
Lattice="4.671 0.000 0.000 0.000 4.307 0.000 -1.211 0.000 4.512" Properties=species:S:1:pos:R:3 pbc="T T T"
La 0.000 0.000 0.000
Cu 0.410 2.153 3.261
Cu 3.050 2.153 1.251
Br 1.730 0.000 2.256
```

Output
M_tot (Bohr magnetons per cell): 0.00
Energy relative to the elements, uncorrected (meV per atom): -242
Excess energy over the best structure of this formula in the dataset (meV/atom): 254.2
Space-group type: P2/m, No. 10



Record 9
AgSn2SeS3 | PBE | relaxed

The structure in extended XYZ format:
```
14
Lattice="3.927 2.267 6.570 -3.927 2.267 6.570 0.000 -4.535 6.570" Properties=species:S:1:pos:R:3 pbc="T T T"
Ag 0.000 0.000 2.060
Ag 0.000 0.000 17.649
Sn -1.964 -1.134 6.570
Sn -1.964 1.134 13.140
Sn 0.000 2.267 6.570
Sn 0.000 0.000 9.855
Se 0.000 0.000 4.926
Se 0.000 0.000 14.783
S 0.000 -2.124 7.985
S -1.839 1.062 7.985
S -1.839 -1.062 11.725
S 1.839 1.062 7.985
S 1.839 -1.062 11.725
S 0.000 2.124 11.725
```

Output
M_tot (Bohr magnetons per cell): 0.00
Energy relative to the elements, uncorrected (meV per atom): -297
Space-group type: R-3m, No. 166



Record 10
Sr2PuB2N6 | PBE | relaxed

The structure in extended XYZ format:
```
11
Lattice="5.478 0.000 0.000 -2.739 4.744 0.000 0.000 0.000 5.834" Properties=species:S:1:pos:R:3 pbc="T T T"
Sr 0.000 3.163 1.810
Sr 2.739 1.581 4.024
Pu 0.000 0.000 0.000
B 0.000 3.163 4.685
B 2.739 1.581 1.149
N 0.000 1.716 4.614
N -1.253 3.886 4.614
N 1.486 0.858 1.220
N 1.253 3.886 4.614
N 3.992 0.858 1.220
N 2.739 3.028 1.220
```

Output
M_tot (Bohr magnetons per cell): 0.69
Energy relative to the elements, uncorrected (meV per atom): -716
Space-group type: P-3m1, No. 164



Record 11
CuRu4 | PBE | relaxed

The structure in extended XYZ format:
```
5
Lattice="-3.012 3.012 1.884 3.012 -3.012 1.884 3.012 3.012 -1.884" Properties=species:S:1:pos:R:3 pbc="T T T"
Cu 0.000 0.000 0.000
Ru 3.565 1.217 0.000
Ru 1.217 2.460 0.000
Ru 1.796 0.553 1.884
Ru -0.553 1.796 1.884
```

Output
M_tot (Bohr magnetons per cell): 0.00
Excess energy over the best structure of this formula in the dataset (meV/atom): 0.0
E_form (eV/atom): 0.216
Space-group type: I4/m, No. 87



Record 12
NbTcTe6 | PBE | relaxed

The structure in extended XYZ format:
```
8
Lattice="6.022 0.000 0.000 2.702 5.989 0.000 2.582 1.140 6.208" Properties=species:S:1:pos:R:3 pbc="T T T"
Nb 0.000 0.000 0.000
Tc 5.653 3.564 3.104
Te 4.130 5.394 4.400
Te 3.829 3.690 1.135
Te 4.459 1.504 4.236
Te 6.846 5.624 1.972
Te 7.477 3.438 5.073
Te 7.176 1.734 1.808
```

Output
M_tot (Bohr magnetons per cell): 0.00
Energy relative to the elements, uncorrected (meV per atom): -69
Space-group type: P-1, No. 2